one | # PBE-GGA ScTi3Co2, optimized geometry
# - V: 15.63 A^3/atom
data_ScTi3Co2
_chemical_formula_sum 'Sc4 Ti12 Co8'
_cell_length_a 13.703
_cell_length_b 4.357
_cell_length_c 6.958
_cell_angle_alpha 90.00
_cell_angle_beta 115.46
_cell_angle_gamma 90.00
_symmetry_space_group_name_H-M 'C 1 2/m 1'
_symmetry_Int_Tables_number 12
loop_
_symmetry_equiv_pos_as_xyz
'x,y,z'
'-x,-y,-z'
'-x,y,-z'
'x,-y,z'
'x+1/2,y+1/2,z'
'-x+1/2,-y+1/2,-z'
'-x+1/2,y+1/2,-z'
'x+1/2,-y+1/2,z'
loop_
_atom_site_label
_atom_site_fract_x
_atom_site_fract_y
_atom_site_fract_z
_atom_site_occupancy
Sc1 0.135 0.000 0.206 1
Ti1 0.063 0.000 0.718 1
Ti2 0.108 0.500 0.503 1
Ti3 0.197 0.500 0.982 1
Co1 0.014 0.500 0.851 1
Co2 0.219 0.000 0.629 1


two | # PBE-GGA ScTi3Co2, optimized geometry
# - V: 15.75 A^3/atom
data_ScTi3Co2
_chemical_formula_sum 'Sc2 Ti6 Co4'
_cell_length_a 3.140
_cell_length_b 8.105
_cell_length_c 7.428
_cell_angle_alpha 90.00
_cell_angle_beta 90.00
_cell_angle_gamma 90.00
_symmetry_space_group_name_H-M 'P m c 21'
_symmetry_Int_Tables_number 26
loop_
_symmetry_equiv_pos_as_xyz
'x,y,z'
'-x,-y,z+1/2'
'-x,y,z'
'x,-y,z+1/2'
loop_
_atom_site_label
_atom_site_fract_x
_atom_site_fract_y
_atom_site_fract_z
_atom_site_occupancy
Sc1 0.000 0.089 0.000 1
Ti1 0.000 0.300 0.633 1
Ti2 0.500 0.202 0.333 1
Ti3 0.500 0.444 0.956 1
Co1 0.000 0.400 0.240 1
Co2 0.500 0.095 0.713 1


Order from most stable to least stable according to the calculation: two, one


one | # PBE-GGA Sc3TlCo, optimized geometry
# - V: 22.62 A^3/atom
data_Sc3TlCo
_chemical_formula_sum 'Sc3 Tl1 Co1'
_cell_length_a 4.836
_cell_length_b 4.836
_cell_length_c 4.836
_cell_angle_alpha 90.00
_cell_angle_beta 90.00
_cell_angle_gamma 90.00
_symmetry_space_group_name_H-M 'P m -3 m'
_symmetry_Int_Tables_number 221
_symmetry_space_group_name_Hall '-P 4 2 3'
loop_
_atom_site_label
_atom_site_fract_x
_atom_site_fract_y
_atom_site_fract_z
_atom_site_occupancy
Sc1 0.000 0.000 0.500 1
Tl1 0.500 0.500 0.500 1
Co1 0.000 0.000 0.000 1


two | # PBE-GGA Sc3TlCo, optimized geometry
# - V: 30.11 A^3/atom
data_Sc3TlCo
_chemical_formula_sum 'Sc3 Tl1 Co1'
_cell_length_a 5.320
_cell_length_b 5.320
_cell_length_c 5.320
_cell_angle_alpha 90.00
_cell_angle_beta 90.00
_cell_angle_gamma 90.00
_symmetry_space_group_name_H-M 'P m -3 m'
_symmetry_Int_Tables_number 221
_symmetry_space_group_name_Hall '-P 4 2 3'
loop_
_atom_site_label
_atom_site_fract_x
_atom_site_fract_y
_atom_site_fract_z
_atom_site_occupancy
Sc1 0.000 0.000 0.500 1
Tl1 0.000 0.000 0.000 1
Co1 0.500 0.500 0.500 1


three | # PBE-GGA Sc3TlCo, optimized geometry
# - V: 21.32 A^3/atom
data_Sc3TlCo
_chemical_formula_sum 'Sc6 Tl2 Co2'
_cell_length_a 6.9394
_cell_length_b 6.9394
_cell_length_c 5.1112
_cell_angle_alpha 90.00
_cell_angle_beta 90.00
_cell_angle_gamma 120.00
_symmetry_space_group_name_H-M 'P 63/m m c'
_symmetry_Int_Tables_number 194
_symmetry_space_group_name_Hall '-P 6c 2c'
loop_
_atom_site_label
_atom_site_fract_x
_atom_site_fract_y
_atom_site_fract_z
_atom_site_occupancy
Sc1 0.1774 0.3547 0.2500 1
Tl1 0.3333 0.6667 0.7500 1
Co1 0.0000 0.0000 0.0000 1


Order from most stable to least stable according to the calculation: three, one, two


one | # PBE-GGA Sc4TlCo, optimized geometry
# - V: 22.13 A^3/atom
data_Sc4TlCo
_chemical_formula_sum 'Sc16 Tl4 Co4'
_cell_length_a 8.280
_cell_length_b 12.197
_cell_length_c 5.523
_cell_angle_alpha 90.00
_cell_angle_beta 107.79
_cell_angle_gamma 90.00
_symmetry_space_group_name_H-M 'C 1 2/c 1'
_symmetry_Int_Tables_number 15
loop_
_symmetry_equiv_pos_as_xyz
'x,y,z'
'-x,-y,-z'
'-x,y,-z+1/2'
'x,-y,z+1/2'
'x+1/2,y+1/2,z'
'-x+1/2,-y+1/2,-z'
'-x+1/2,y+1/2,-z+1/2'
'x+1/2,-y+1/2,z+1/2'
loop_
_atom_site_label
_atom_site_fract_x
_atom_site_fract_y
_atom_site_fract_z
_atom_site_occupancy
Sc1 0.109 0.162 0.051 1
Sc2 0.224 0.423 0.377 1
Tl1 0.000 0.371 0.750 1
Co1 0.000 0.000 0.250 1


two | # PBE-GGA Sc4TlCo, optimized geometry
# - V: 22.33 A^3/atom
data_Sc4TlCo
_chemical_formula_sum 'Sc16 Tl4 Co4'
_cell_length_a 15.405
_cell_length_b 5.794
_cell_length_c 6.363
_cell_angle_alpha 90.00
_cell_angle_beta 109.35
_cell_angle_gamma 90.00
_symmetry_space_group_name_H-M 'C 1 2/c 1'
_symmetry_Int_Tables_number 15
loop_
_symmetry_equiv_pos_as_xyz
'x,y,z'
'-x,-y,-z'
'-x,y,-z+1/2'
'x,-y,z+1/2'
'x+1/2,y+1/2,z'
'-x+1/2,-y+1/2,-z'
'-x+1/2,y+1/2,-z+1/2'
'x+1/2,-y+1/2,z+1/2'
loop_
_atom_site_label
_atom_site_fract_x
_atom_site_fract_y
_atom_site_fract_z
_atom_site_occupancy
Sc1 0.095 0.118 0.485 1
Sc2 0.188 0.388 0.130 1
Tl1 0.000 0.399 0.750 1
Co1 0.250 0.250 0.500 1


Order from most stable to least stable according to the calculation: one, two


one | # PBE-GGA Sc2VCo, optimized geometry
# - V: 16.98 A^3/atom
data_Sc2VCo
_chemical_formula_sum 'Sc8 V4 Co4'
_cell_length_a 6.477
_cell_length_b 6.477
_cell_length_c 6.477
_cell_angle_alpha 90.00
_cell_angle_beta 90.00
_cell_angle_gamma 90.00
_symmetry_space_group_name_H-M 'F m -3 m'
_symmetry_Int_Tables_number 225
_symmetry_space_group_name_Hall '-F 4 2 3'
loop_
_atom_site_label
_atom_site_fract_x
_atom_site_fract_y
_atom_site_fract_z
_atom_site_occupancy
Sc1 0.250 0.250 0.250 1
V1 0.000 0.000 0.000 1
Co1 0.000 0.000 0.500 1


two | # PBE-GGA Sc2VCo, optimized geometry
# - V: 17.98 A^3/atom
data_Sc2VCo
_chemical_formula_sum 'Sc8 V4 Co4'
_cell_length_a 7.178
_cell_length_b 7.178
_cell_length_c 5.582
_cell_angle_alpha 90.00
_cell_angle_beta 90.00
_cell_angle_gamma 90.00
_symmetry_space_group_name_H-M 'I -4 2 d'
_symmetry_Int_Tables_number 122
_symmetry_space_group_name_Hall 'I -4 2bw'
loop_
_atom_site_label
_atom_site_fract_x
_atom_site_fract_y
_atom_site_fract_z
_atom_site_occupancy
Sc1 0.204 0.750 0.125 1
V1 0.000 0.000 0.500 1
Co1 0.000 0.000 0.000 1


three | # PBE-GGA Sc2VCo, optimized geometry
# - V: 16.77 A^3/atom
data_Sc2VCo
_chemical_formula_sum 'Sc2 V1 Co1'
_cell_length_a 3.082
_cell_length_b 3.082
_cell_length_c 7.060
_cell_angle_alpha 90.00
_cell_angle_beta 90.00
_cell_angle_gamma 90.00
_symmetry_space_group_name_H-M 'P 4/m m m'
_symmetry_Int_Tables_number 123
_symmetry_space_group_name_Hall '-P 4 2'
loop_
_atom_site_label
_atom_site_fract_x
_atom_site_fract_y
_atom_site_fract_z
_atom_site_occupancy
Sc1 0.000 0.000 0.220 1
V1 0.500 0.500 0.500 1
Co1 0.500 0.500 0.000 1


Order from most stable to least stable according to the calculation: one, three, two


one | # PBE-GGA ScV2Co, optimized geometry
# - V: 13.98 A^3/atom
data_ScV2Co
_chemical_formula_sum 'Sc4 V8 Co4'
_cell_length_a 6.070
_cell_length_b 6.070
_cell_length_c 6.070
_cell_angle_alpha 90.00
_cell_angle_beta 90.00
_cell_angle_gamma 90.00
_symmetry_space_group_name_H-M 'F m -3 m'
_symmetry_Int_Tables_number 225
_symmetry_space_group_name_Hall '-F 4 2 3'
loop_
_atom_site_label
_atom_site_fract_x
_atom_site_fract_y
_atom_site_fract_z
_atom_site_occupancy
Sc1 0.000 0.000 0.000 1
V1 0.250 0.250 0.250 1
Co1 0.000 0.000 0.500 1


two | # PBE-GGA ScV2Co, optimized geometry
# - V: 15.69 A^3/atom
data_ScV2Co
_chemical_formula_sum 'Sc4 V8 Co4'
_cell_length_a 6.973
_cell_length_b 6.973
_cell_length_c 5.162
_cell_angle_alpha 90.00
_cell_angle_beta 90.00
_cell_angle_gamma 90.00
_symmetry_space_group_name_H-M 'I -4 2 d'
_symmetry_Int_Tables_number 122
_symmetry_space_group_name_Hall 'I -4 2bw'
loop_
_atom_site_label
_atom_site_fract_x
_atom_site_fract_y
_atom_site_fract_z
_atom_site_occupancy
Sc1 0.000 0.000 0.000 1
V1 0.191 0.250 0.625 1
Co1 0.000 0.000 0.500 1


Order from most stable to least stable according to the calculation: one, two